# 1
4
Lattice="-0.191 -4.221 1.115 3.385 -2.636 -0.833 2.457 -1.506 3.285" Properties=species:S:1:pos:R:3 comment="SnMo2H, optimized geometry, DFT GGA-PBEsol" spacegroup=Fm-3m total_energy_ha_per_atom=-0.248 crystal_system=cubic pbc="T T T"
H 0.000 0.000 0.000
Mo 1.413 -2.091 0.892
Mo 4.238 -6.272 2.676
Sn 2.825 -4.181 1.784

# 2
4
Lattice="3.799 0.000 0.000 1.899 3.290 0.000 1.899 1.097 3.102" Properties=species:S:1:pos:R:3 comment="TaMoH2, optimized geometry, DFT GGA-PBEsol" spacegroup=Fm-3m total_energy_ha_per_atom=-0.262 crystal_system=cubic pbc="T T T"
H 1.899 1.097 0.775
H 5.698 3.290 2.326
Mo 0.000 0.000 0.000
Ta 3.799 2.193 1.551

# 3
5
Lattice="-2.057 2.442 -0.412 -2.295 -1.677 1.513 3.735 1.724 4.150" Properties=species:S:1:pos:R:3 comment="Ta2MoH2, optimized geometry, DFT GGA-PBEsol" spacegroup=I4/mmm total_energy_ha_per_atom=-0.326 crystal_system=tetragonal pbc="T T T"
H -0.368 0.215 3.106
H -0.249 2.274 2.144
Mo 0.000 0.000 0.000
Ta 1.106 1.495 3.335
Ta -1.723 0.994 1.915

# 4
5
Lattice="3.899 0.000 0.000 0.000 3.899 0.000 0.000 0.000 3.899" Properties=species:S:1:pos:R:3 comment="Tc3MoH, optimized geometry, DFT GGA-PBEsol" spacegroup=Pm-3m total_energy_ha_per_atom=-0.357 crystal_system=cubic pbc="T T T"
H 0.000 0.000 0.000
Mo 1.950 1.950 1.950
Tc 0.000 1.950 0.000
Tc 0.000 0.000 1.950
Tc 1.950 0.000 0.000

# 5
5
Lattice="-0.297 0.815 -3.562 -3.591 0.598 0.436 0.678 3.524 0.749" Properties=species:S:1:pos:R:3 comment="TeMoH3, optimized geometry, DFT GGA-PBEsol" spacegroup=Pm-3m total_energy_ha_per_atom=-0.168 crystal_system=cubic pbc="T T T"
H -1.795 0.299 0.218
H 0.339 1.762 0.375
H -0.148 0.407 -1.781
Mo 0.000 0.000 0.000
Te -1.605 2.468 -1.188

# 6
5
Lattice="-0.185 -1.665 2.706 3.107 -0.661 -0.194 -0.409 5.337 1.383" Properties=species:S:1:pos:R:3 comment="Ti2MoH2, optimized geometry, DFT GGA-PBEsol" spacegroup=I4/mmm total_energy_ha_per_atom=-0.269 crystal_system=tetragonal pbc="T T T"
H 2.080 1.757 1.223
H 0.434 1.255 2.673
Mo 0.000 0.000 0.000
Ti 0.743 2.946 1.863
Ti 1.771 0.065 2.033